(1)
{
  "formula": "Ag8Os",
  "functional": "PBE-GGA",
  "state": "optimized geometry",
  "lattice_angstrom": [[-4.355, 4.355, 2.072], [4.355, -4.355, 2.072], [4.355, 4.355, -2.072]],
  "species": ["Ag", "Ag", "Ag", "Ag", "Ag", "Ag", "Ag", "Ag", "Os"],
  "frac_coords": [[0.000, 0.330, 0.330], [0.000, 0.670, 0.670], [0.330, 0.000, 0.330], [0.336, 0.336, 0.673], [0.336, 0.664, 0.000], [0.664, 0.336, 0.000], [0.664, 0.664, 0.327], [0.670, 0.000, 0.670], [0.000, 0.000, 0.000]],
  "energy_ev_per_atom": -3.408
}



(2)
{
  "formula": "PmAgCl5",
  "functional": "PBE-GGA",
  "state": "optimized geometry",
  "lattice_angstrom": [[4.424, -5.403, 0.000], [4.424, 5.403, 0.000], [-1.291, 0.000, 8.150]],
  "species": ["Pm", "Pm", "Ag", "Ag", "Cl", "Cl", "Cl", "Cl", "Cl", "Cl", "Cl", "Cl", "Cl", "Cl"],
  "frac_coords": [[0.060, 0.940, 0.750], [0.940, 0.060, 0.250], [0.500, 0.500, 0.000], [0.500, 0.500, 0.500], [0.049, 0.781, 0.044], [0.173, 0.433, 0.344], [0.219, 0.951, 0.456], [0.365, 0.635, 0.750], [0.433, 0.173, 0.844], [0.567, 0.827, 0.156], [0.635, 0.365, 0.250], [0.781, 0.049, 0.544], [0.827, 0.567, 0.656], [0.951, 0.219, 0.956]],
  "formation_energy_uncorrected_ev_per_atom": -1.393
}



(3)
{
  "formula": "Li3PdF4",
  "functional": "PBE-GGA",
  "state": "optimized geometry",
  "lattice_angstrom": [[4.658, 0.000, 0.000], [0.000, 4.658, 0.000], [0.000, 0.000, 4.658]],
  "species": ["Li", "Li", "Li", "Pd", "F", "F", "F", "F"],
  "frac_coords": [[0.000, 0.000, 0.500], [0.000, 0.500, 0.000], [0.500, 0.000, 0.000], [0.500, 0.500, 0.500], [0.219, 0.219, 0.781], [0.219, 0.781, 0.219], [0.781, 0.219, 0.219], [0.781, 0.781, 0.781]],
  "formation_energy_uncorrected_ev_per_atom": -2.167
}



(4)
{
  "formula": "AcSm2Y3",
  "functional": "PBE-GGA",
  "state": "optimized geometry",
  "lattice_angstrom": [[-1.731, 5.157, 6.061], [1.731, -5.157, 6.061], [1.731, 5.157, -6.061]],
  "species": ["Ac", "Sm", "Sm", "Y", "Y", "Y"],
  "frac_coords": [[0.000, 0.000, 0.000], [0.344, 0.005, 0.339], [0.666, 0.005, 0.661], [0.088, 0.258, 0.831], [0.427, 0.258, 0.169], [0.745, 0.245, 0.500]],
  "de_polymorph_mev_per_atom": 339
}



| no. | D(E_F) (states/eV per atom) |
| --- | --- |
| 1 | 0.563 |
| 2 | 0.500 |
| 3 | 1.239 |
| 4 | 2.161 |